Record 1
ZnSbRu2 | PBE | relaxed

## Properties
The raw formation energy comes out at 0.182 eV per atom. As for the space group: Imm2 (44). The magnetic moment is 0.00 μB/cell.

Cell lengths 5.4099, 5.4099, 5.4099 Å; angles 146.32, 133.01, 59.04 degrees
Element x y z (fractional)
Sb (0.5099, 0.5099, 0.0000)
Ru (0.0014, 0.0014, 0.0000)
Ru (0.7447, 0.2447, 0.5000)
Zn (0.2440, 0.7440, 0.5000)

---

Record 2
Zn2SbRu | PBE | relaxed

## Properties
The raw formation energy comes out at 0.158 eV per atom. As for the space group: R3m (160). The magnetic moment is 0.00 μB/cell.

Cell lengths 8.5123, 8.5123, 8.5123 Å; angles 21.54, 21.54, 21.54 degrees
Element x y z (fractional)
Zn (0.2454, 0.2454, 0.2454)
Ru (0.5018, 0.5018, 0.5018)
Zn (0.9928, 0.9928, 0.9928)
Sb (0.7600, 0.7600, 0.7600)